No. 1
Material: La2Tb4Ho5
Method: DFT, PBE
State: relaxed

Calculated values
total moment	0.0	μB per formula unit
calculated density	7.9	g cm⁻³
energy relative to the elements	112	meV/atom
calculated volume	730.4	Å³/cell

a b c (Å): 24.005 3.525 8.659
angles (deg): 90.00 94.60 90.00
Space group C2/m (No. 12)
Unique sites:
La: 0.226 0.000 0.323 (multiplicity 4)
Tb: 0.040 0.500 0.842 (multiplicity 4)
Tb: 0.086 0.000 0.192 (multiplicity 4)
Ho: 0.000 0.000 0.500 (multiplicity 2)
Ho: 0.128 0.500 0.544 (multiplicity 4)
Ho: 0.183 0.500 0.971 (multiplicity 4)

No. 2
Material: BeNbRu
Method: DFT, PBE
State: relaxed

Calculated values
total moment	0.0	μB per formula unit
calculated density	8.3	g cm⁻³
energy relative to the elements	-223	meV/atom
calculated volume	81.5	Å³/cell

a b c (Å): 3.041 3.041 8.812
angles (deg): 90.00 90.00 90.00
Space group I4mm (No. 107)
Unique sites:
Be: 0.000 0.000 0.000 (multiplicity 2)
Nb: 0.000 0.000 0.314 (multiplicity 2)
Ru: 0.000 0.000 0.615 (multiplicity 2)

No. 3
Material: Lu2TiCuO6
Method: DFT, PBE
State: relaxed

Calculated values
total moment	0.9	μB per formula unit
calculated density	7.6	g cm⁻³
formation energy from raw total energies	-2747	meV/atom
calculated volume	122.5	Å³/cell

a b c (Å): 3.5372 3.5372 11.3080
angles (deg): 90.00 90.00 120.00
Space group P-6m2 (No. 187)
Unique sites:
Lu: 0.0000 0.0000 0.2272 (multiplicity 2)
Ti: 0.6667 0.3333 0.5000 (multiplicity 1)
Cu: 0.3333 0.6667 0.0000 (multiplicity 1)
O: 0.0000 0.0000 0.0000 (multiplicity 1)
O: 0.0000 0.0000 0.5000 (multiplicity 1)
O: 0.3333 0.6667 0.1686 (multiplicity 2)
O: 0.6667 0.3333 0.3330 (multiplicity 2)

Q: The highest total moment belongs to which entry?
A: Lu2TiCuO6